First-principles (PBE) data for a relaxed Zn2GaBr8 crystal, as listed in Alexandria via LeMat-Bulk.

Calculated values
For the energy, the calculation gives -2.389 eV/atom. Its total moment is 2.00 μB/cell. Its formation energy from raw total energies is -7.32 eV per formula unit.

Cell lengths 10.704, 11.656, 6.420 Å; angles 90.00, 91.96, 90.00 degrees
Space group C2/m (No. 12)
Inequivalent atoms, fractional coordinates:
Zn 0.212 0.000 0.424 x4
Ga 0.000 0.000 0.000 x2
Br 0.075 0.500 0.692 x4
Br 0.095 0.154 0.239 x8
Br 0.215 0.000 0.799 x4